# VCr3Ag | Alexandria | PBE-GGA | relaxed
data_VCr3Ag
_cell_length_a 4.2568
_cell_length_b 4.2568
_cell_length_c 4.2568
_cell_angle_alpha 90.00
_cell_angle_beta 90.00
_cell_angle_gamma 90.00
_space_group_name_H-M_alt 'P 1'
_space_group_IT_number 1
_space_group_name_Hall 'P 1'
loop_
_atom_site_label
_atom_site_fract_x
_atom_site_fract_y
_atom_site_fract_z
V1 0.0000 0.0000 0.0000
Cr1 0.0000 0.0000 0.5000
Cr2 0.0000 0.5000 0.0000
Cr3 0.5000 0.0000 0.0000
Ag1 0.5000 0.5000 0.5000
# polymorph energy (0 for the lowest one) = 0 meV per atom
# space group = Pm-3m, No. 221
# magnetic moment = 0.94 μB per formula unit
# ΔH_f (0 K) = 1.331 eV/atom

***

# CdAsW2 | Alexandria | PBE-GGA | relaxed
data_CdAsW2
_cell_length_a 10.2480
_cell_length_b 10.2480
_cell_length_c 10.2480
_cell_angle_alpha 158.29
_cell_angle_beta 158.29
_cell_angle_gamma 30.90
_space_group_name_H-M_alt 'P 1'
_space_group_IT_number 1
_space_group_name_Hall 'P 1'
loop_
_atom_site_label
_atom_site_fract_x
_atom_site_fract_y
_atom_site_fract_z
Cd1 0.0000 0.0000 0.0000
Cd2 0.7500 0.2500 0.5000
As1 0.2500 0.7500 0.5000
As2 0.5000 0.5000 0.0000
W1 0.1180 0.6250 0.9930
W2 0.3750 0.3680 0.4930
W3 0.6320 0.1250 0.0070
W4 0.8750 0.8820 0.5070
# polymorph energy (0 for the lowest one) = 500 meV per atom
# space group = I-42d, No. 122
# magnetic moment = 0.00 μB per formula unit
# ΔH_f (0 K) = 0.836 eV/atom

***

# AcPr7In2 | Alexandria | PBE-GGA | relaxed
data_AcPr7In2
_cell_length_a 9.2352
_cell_length_b 9.2352
_cell_length_c 5.7556
_cell_angle_alpha 90.00
_cell_angle_beta 90.00
_cell_angle_gamma 118.98
_space_group_name_H-M_alt 'P 1'
_space_group_IT_number 1
_space_group_name_Hall 'P 1'
loop_
_atom_site_label
_atom_site_fract_x
_atom_site_fract_y
_atom_site_fract_z
Ac1 0.0000 0.0000 0.0000
Pr1 0.0560 0.3042 0.5000
Pr2 0.2355 0.7645 0.0000
Pr3 0.3042 0.0560 0.5000
Pr4 0.5000 0.5000 0.5000
Pr5 0.6958 0.9440 0.5000
Pr6 0.7645 0.2355 0.0000
Pr7 0.9440 0.6958 0.5000
In1 0.3041 0.6959 0.5000
In2 0.6959 0.3041 0.5000
# space group = Cmmm, No. 65
# magnetic moment = 0.00 μB per formula unit
# ΔH_f (0 K) = 0.275 eV/atom

***

# CaEr2UN4 | Alexandria | PBE-GGA | relaxed
data_CaEr2UN4
_cell_length_a 5.9379
_cell_length_b 3.4576
_cell_length_c 5.9401
_cell_angle_alpha 90.00
_cell_angle_beta 108.46
_cell_angle_gamma 90.00
_space_group_name_H-M_alt 'P 1'
_space_group_IT_number 1
_space_group_name_Hall 'P 1'
loop_
_atom_site_label
_atom_site_fract_x
_atom_site_fract_y
_atom_site_fract_z
Ca1 0.0000 0.0000 0.0000
Er1 0.0000 0.5000 0.5000
Er2 0.5000 0.0000 0.5000
U1 0.5000 0.5000 0.0000
N1 0.2587 0.0000 0.7490
N2 0.2790 0.5000 0.2436
N3 0.7210 0.5000 0.7564
N4 0.7413 0.0000 0.2510
# space group = P2/m, No. 10
# magnetic moment = 1.57 μB per formula unit
# formation energy from raw total energies = -1.512 eV/atom

***

# ZrCoOs2 | Alexandria | PBE-GGA | relaxed
data_ZrCoOs2
_cell_length_a 4.8737
_cell_length_b 4.8737
_cell_length_c 4.8737
_cell_angle_alpha 133.09
_cell_angle_beta 133.09
_cell_angle_gamma 68.51
_space_group_name_H-M_alt 'P 1'
_space_group_IT_number 1
_space_group_name_Hall 'P 1'
loop_
_atom_site_label
_atom_site_fract_x
_atom_site_fract_y
_atom_site_fract_z
Zr1 0.0000 0.0000 0.0000
Co1 0.5000 0.5000 0.0000
Os1 0.2500 0.7500 0.5000
Os2 0.7500 0.2500 0.5000
# polymorph energy (0 for the lowest one) = 124 meV per atom
# space group = I4/mmm, No. 139
# magnetic moment = 0.02 μB per formula unit
# ΔH_f (0 K) = 0.089 eV/atom

***

# La2Al3Ga5 | Alexandria | PBE-GGA | relaxed
data_La2Al3Ga5
_cell_length_a 8.8075
_cell_length_b 8.8075
_cell_length_c 8.8075
_cell_angle_alpha 107.61
_cell_angle_beta 87.47
_cell_angle_gamma 137.88
_space_group_name_H-M_alt 'P 1'
_space_group_IT_number 1
_space_group_name_Hall 'P 1'
loop_
_atom_site_label
_atom_site_fract_x
_atom_site_fract_y
_atom_site_fract_z
La1 0.1260 0.2404 0.3665
La2 0.3740 0.7404 0.1144
La3 0.6260 0.2596 0.8856
La4 0.8740 0.7596 0.6335
Al1 0.1318 0.8834 0.0153
Al2 0.2500 0.7500 0.5000
Al3 0.3682 0.3834 0.7516
Al4 0.6318 0.6166 0.2484
Al5 0.7500 0.2500 0.5000
Al6 0.8682 0.1166 0.9847
Ga1 0.0160 0.7500 0.2660
Ga2 0.1158 0.6419 0.7577
Ga3 0.2500 0.2500 0.0000
Ga4 0.3842 0.1419 0.5261
Ga5 0.4840 0.7500 0.7340
Ga6 0.5160 0.2500 0.2660
Ga7 0.6158 0.8581 0.4739
Ga8 0.7500 0.7500 0.0000
Ga9 0.8842 0.3581 0.2423
Ga10 0.9840 0.2500 0.7340
# space group = Ibam, No. 72
# magnetic moment = 0.00 μB per formula unit
# ΔH_f (0 K) = -0.463 eV/atom

***

Q: magnetic moment of number 6 (La2Al3Ga5)?
A: 0.00 μB per formula unit

***

Q: The highest magnetic moment belongs to which entry?
A: CaEr2UN4

***

Q: Which value of magnetic moment does entry 4 give?
A: 1.57 μB per formula unit

***

Please write out number 6 again, unchanged.
# La2Al3Ga5 | Alexandria | PBE-GGA | relaxed
data_La2Al3Ga5
_cell_length_a 8.8075
_cell_length_b 8.8075
_cell_length_c 8.8075
_cell_angle_alpha 107.61
_cell_angle_beta 87.47
_cell_angle_gamma 137.88
_space_group_name_H-M_alt 'P 1'
_space_group_IT_number 1
_space_group_name_Hall 'P 1'
loop_
_atom_site_label
_atom_site_fract_x
_atom_site_fract_y
_atom_site_fract_z
La1 0.1260 0.2404 0.3665
La2 0.3740 0.7404 0.1144
La3 0.6260 0.2596 0.8856
La4 0.8740 0.7596 0.6335
Al1 0.1318 0.8834 0.0153
Al2 0.2500 0.7500 0.5000
Al3 0.3682 0.3834 0.7516
Al4 0.6318 0.6166 0.2484
Al5 0.7500 0.2500 0.5000
Al6 0.8682 0.1166 0.9847
Ga1 0.0160 0.7500 0.2660
Ga2 0.1158 0.6419 0.7577
Ga3 0.2500 0.2500 0.0000
Ga4 0.3842 0.1419 0.5261
Ga5 0.4840 0.7500 0.7340
Ga6 0.5160 0.2500 0.2660
Ga7 0.6158 0.8581 0.4739
Ga8 0.7500 0.7500 0.0000
Ga9 0.8842 0.3581 0.2423
Ga10 0.9840 0.2500 0.7340
# space group = Ibam, No. 72
# magnetic moment = 0.00 μB per formula unit
# ΔH_f (0 K) = -0.463 eV/atom